Entry from the Alexandria database: a relaxed structure of Ni4HgSe8 (PBE). Values from VASP.

```
&SYSTEM
  ibrav = 0, nat = 13, ntyp = 3
/
ATOMIC_SPECIES
Ni 58.69 Ni.upf
Hg 200.59 Hg.upf
Se 78.96 Se.upf
ATOMIC_POSITIONS angstrom
Ni 0.000 0.000 0.000
Ni -1.782 -1.029 6.932
Ni -1.782 1.029 13.865
Ni 0.000 2.058 6.932
Hg 0.000 0.000 10.399
Se 0.000 -2.041 8.176
Se -1.767 1.020 8.176
Se 0.000 0.000 5.689
Se -1.767 -1.020 12.621
Se 1.767 1.020 8.176
Se 0.000 0.000 15.109
Se 1.767 -1.020 12.621
Se 0.000 2.041 12.621
CELL_PARAMETERS angstrom
3.565 2.058 6.932
-3.565 2.058 6.932
0.000 -4.116 6.932
```

Summary:
* density: 5.81 g/cm³
* crystal system: trigonal
* volume: 305.17 Å³ per cell
* raw formation energy: -0.223 eV per atom
* space-group type: R-3m (166)


Entry from the Alexandria database: a relaxed structure of NiHgSe (PBE). Values from VASP.

```
&SYSTEM
  ibrav = 0, nat = 12, ntyp = 3
/
ATOMIC_SPECIES
Ni 58.69 Ni.upf
Hg 200.59 Hg.upf
Se 78.96 Se.upf
ATOMIC_POSITIONS angstrom
Ni 0.000 0.000 0.000
Ni -1.139 1.788 2.793
Ni 5.143 0.000 2.793
Ni 6.282 1.788 0.000
Hg 0.856 0.000 2.633
Hg 3.147 1.788 2.953
Hg 7.138 1.788 2.633
Hg 9.429 0.000 2.953
Se -0.835 1.788 5.077
Se 4.838 0.000 0.510
Se 5.447 0.000 5.077
Se 11.120 1.788 0.510
CELL_PARAMETERS angstrom
12.564 0.000 0.000
0.000 3.577 0.000
-2.278 0.000 5.587
```

Summary:
* density: 8.95 g/cm³
* crystal system: monoclinic
* volume: 251.04 Å³ per cell
* energy relative to the lowest polymorph listed for this composition: 0.000 eV per atom
* raw formation energy: -0.139 eV per atom
* space-group type: C2/m (12)


Entry from the Alexandria database: a relaxed structure of NiHgSe (PBE). Values from VASP.

```
&SYSTEM
  ibrav = 0, nat = 3, ntyp = 3
/
ATOMIC_SPECIES
Ni 58.69 Ni.upf
Hg 200.59 Hg.upf
Se 78.96 Se.upf
ATOMIC_POSITIONS angstrom
Ni 0.000 0.000 0.000
Hg 1.742 1.006 3.784
Se 0.000 2.012 1.168
CELL_PARAMETERS angstrom
3.485 0.000 0.000
-1.742 3.018 0.000
0.000 0.000 5.704
```

Summary:
* density: 9.36 g/cm³
* crystal system: trigonal
* volume: 59.99 Å³ per cell
* energy relative to the lowest polymorph listed for this composition: 0.112 eV per atom
* raw formation energy: -0.027 eV per atom
* space-group type: P3m1 (156)